A relaxed Y3Hg crystal, computed with PBE.

Output
- Symmetry: R-3m
- Spin magnetization: 0.000 Bohr magnetons per cell
- Energy: -0.3742 Ry/atom
- Volume: 121 Å³ per cell

Cell: 10.7877 10.7877 10.7877 Å, 19.40 19.40 19.40°
Last column: nearest neighbours and their distance in Å.
Atoms (fractional coordinates):
Y 0.0000 0.0000 0.0000  12 Y 3.58-3.63
Y 0.2422 0.2422 0.2422  3 Hg 3.19
Y 0.7578 0.7578 0.7578  3 Hg 3.19
Hg 0.5000 0.5000 0.5000  6 Y 3.19